No. 1
Compound: LiZrCuF6
Source: Alexandria via LeMat-Bulk
Functional: PBE
Structure: optimized geometry

The structure belongs to space group P-31c (No. 163); the cell edges are 5.3795, 5.3795 and 9.4238 Å and the angles 90.00°, 90.00° and 120.00°. The inequivalent atoms are Li at (0.3333, 0.6667, 0.2500), Zr at (0.3333, 0.6667, 0.7500), Cu at (0.0000, 0.0000, 0.0000) and F at (0.0022, 0.3538, 0.6337).

As for the crystal system: trigonal. The formation energy (no corrections) comes out at -2.858 eV per atom.

No. 2
Compound: Al2CoPb
Source: Alexandria via LeMat-Bulk
Functional: PBE
Structure: optimized geometry

The structure belongs to space group Immm (No. 71); the cell edges are 2.974, 5.005 and 9.797 Å and the angles 90.00°, 90.00° and 90.00°. The inequivalent atoms are Al at (0.000, 0.000, 0.201), Co at (0.000, 0.500, 0.500) and Pb at (0.000, 0.500, 0.000).

As for the crystal system: orthorhombic. The value obtained for the energy of formation from the pure elements is 0.241 eV/atom. For the density of states at the Fermi level, the calculation gives 3.0 states/eV/f.u.

No. 3
Compound: AcEr2Pt
Source: Alexandria via LeMat-Bulk
Functional: PBE
Structure: optimized geometry

The structure belongs to space group P4/mmm (No. 123); the cell edges are 3.591, 3.591 and 8.956 Å and the angles 90.00°, 90.00° and 90.00°. The inequivalent atoms are Ac at (0.000, 0.000, 0.000), Er at (0.500, 0.500, 0.321) and Pt at (0.000, 0.000, 0.500).

The polymorph energy (0 for the lowest one) comes out at 0 meV per atom. As for the crystal system: tetragonal. The value obtained for the energy of formation from the pure elements is -0.606 eV/atom. For the density of states at the Fermi level, the calculation gives 3.6 states/eV/f.u.

No. 4
Compound: Ce3Tc
Source: Alexandria via LeMat-Bulk
Functional: PBE
Structure: optimized geometry

The structure belongs to space group Cmcm (No. 63); the cell edges are 3.653, 11.342 and 9.486 Å and the angles 90.00°, 90.00° and 90.00°. The inequivalent atoms are Ce at (0.000, 0.085, 0.250), Ce at (0.000, 0.365, 0.055) and Tc at (0.000, 0.212, 0.750).

As for the crystal system: orthorhombic. The value obtained for the energy of formation from the pure elements is -0.047 eV/atom. For the density of states at the Fermi level, the calculation gives 8.5 states/eV/f.u.

No. 5
Compound: ScMoI2
Source: Alexandria via LeMat-Bulk
Functional: PBE
Structure: optimized geometry

The structure belongs to space group I-42d (No. 122); the cell edges are 5.052, 5.052 and 17.578 Å and the angles 90.00°, 90.00° and 90.00°. The inequivalent atoms are Sc at (0.000, 0.000, 0.000), Mo at (0.000, 0.000, 0.500) and I at (0.237, 0.250, 0.625).

The polymorph energy (0 for the lowest one) comes out at 95 meV per atom. As for the crystal system: tetragonal. The formation energy (no corrections) comes out at 0.456 eV per atom. For the density of states at the Fermi level, the calculation gives 4.5 states/eV/f.u.

No. 6
Compound: U2Tl2InSe6
Source: Alexandria via LeMat-Bulk
Functional: PBE
Structure: optimized geometry

The structure belongs to space group C2/m (No. 12); the cell edges are 7.448, 12.888 and 7.838 Å and the angles 90.00°, 105.76° and 90.00°. The inequivalent atoms are U at (0.000, 0.166, 0.000), Tl at (0.000, 0.347, 0.500), In at (0.000, 0.500, 0.000), Se at (0.185, 0.000, 0.204) and Se at (0.246, 0.312, 0.207).

As for the crystal system: monoclinic. The formation energy (no corrections) comes out at -0.829 eV per atom. For the density of states at the Fermi level, the calculation gives 9.9 states/eV/f.u.

No. 7
Compound: Nb2Te2Ir
Source: Alexandria via LeMat-Bulk
Functional: PBE
Structure: optimized geometry

The structure belongs to space group I4/mmm (No. 139); the cell edges are 5.314, 5.314 and 8.038 Å and the angles 90.00°, 90.00° and 90.00°. The inequivalent atoms are Nb at (0.000, 0.500, 0.250), Te at (0.000, 0.000, 0.180) and Ir at (0.000, 0.000, 0.500).

The polymorph energy (0 for the lowest one) comes out at 278 meV per atom. As for the crystal system: tetragonal. The formation energy (no corrections) comes out at 0.605 eV per atom. For the density of states at the Fermi level, the calculation gives 4.4 states/eV/f.u.

No. 8
Compound: TaAs2Cl
Source: Alexandria via LeMat-Bulk
Functional: PBE
Structure: optimized geometry

The structure belongs to space group P4mm (No. 99); the cell edges are 3.303, 3.303 and 7.954 Å and the angles 90.00°, 90.00° and 90.00°. The inequivalent atoms are Ta at (0.000, 0.000, 0.000), As at (0.000, 0.000, 0.340), As at (0.500, 0.500, 0.165) and Cl at (0.500, 0.500, 0.784).

The polymorph energy (0 for the lowest one) comes out at 227 meV per atom. As for the crystal system: tetragonal. The formation energy (no corrections) comes out at -0.135 eV per atom. For the density of states at the Fermi level, the calculation gives 1.5 states/eV/f.u.